## Dy3Y6Ho2Th (PBE)

Data for Dy3Y6Ho2Th after structural relaxation.

POSCAR file:
```
Dy3Y6Ho2Th
1.0
3.084 -5.339 0.000
3.084 5.339 0.000
-2.055 0.000 11.614
Dy Y Ho Th
3 6 2 1
direct
0.000 0.000 0.000
0.333 0.667 0.000
0.667 0.333 0.000
0.086 0.417 0.251
0.253 0.253 0.749
0.417 0.086 0.251
0.583 0.914 0.749
0.747 0.747 0.251
0.914 0.583 0.749
0.167 0.833 0.500
0.833 0.167 0.500
0.500 0.500 0.500
```

Results
- Energy relative to the elements: 0.026 eV per atom
- Space group: No. 12

=====

## Fe2AsBr (PBE)

Data for Fe2AsBr after structural relaxation.

POSCAR file:
```
Fe2AsBr
1.0
0.000 3.077 3.077
3.077 0.000 3.077
3.077 3.077 0.000
Fe As Br
2 1 1
direct
0.250 0.250 0.250
0.750 0.750 0.750
0.000 0.000 0.000
0.500 0.500 0.500
```

Results
- ΔE_f (raw): 2.3 eV/f.u.
- Space group: No. 225

=====

## Zn3AgF (PBE)

Data for Zn3AgF after structural relaxation.

POSCAR file:
```
Zn3AgF
1.0
4.369 0.000 0.000
0.000 4.369 0.000
0.000 0.000 4.369
Zn Ag F
3 1 1
direct
0.000 0.000 0.500
0.000 0.500 0.000
0.500 0.000 0.000
0.500 0.500 0.500
0.000 0.000 0.000
```

Results
- ΔE_f (raw): -0.7 eV/f.u.
- Space group: No. 221

=====

## SrAu5 (PBE)

Data for SrAu5 after structural relaxation.

POSCAR file:
```
SrAu5
1.0
5.763 0.000 0.000
-2.881 4.991 0.000
0.000 0.000 4.614
Sr Au
1 5
direct
0.000 0.000 0.000
0.000 0.500 0.500
0.333 0.667 0.000
0.500 0.000 0.500
0.500 0.500 0.500
0.667 0.333 0.000
```

Results
- Energy relative to the elements: -0.443 eV per atom
- Space group: No. 191

=====

## CdCoCl2 (PBE)

Data for CdCoCl2 after structural relaxation.

POSCAR file:
```
CdCoCl2
1.0
4.823 0.000 0.000
0.000 4.823 0.000
0.000 0.000 3.338
Cd Co Cl
1 1 2
direct
0.000 0.000 0.000
0.500 0.500 0.000
0.000 0.500 0.500
0.500 0.000 0.500
```

Results
- ΔE_f (raw): 1.1 eV/f.u.
- Space group: No. 123

=====

## PmY4Tm4 (PBE)

Data for PmY4Tm4 after structural relaxation.

POSCAR file:
```
PmY4Tm4
1.0
5.634 0.000 0.000
-0.006 6.955 0.000
-2.808 -1.523 7.655
Pm Y Tm
1 4 4
direct
0.000 0.000 0.000
0.179 0.469 0.358
0.383 0.812 0.767
0.617 0.188 0.233
0.821 0.531 0.642
0.202 0.986 0.403
0.399 0.298 0.799
0.601 0.702 0.201
0.798 0.014 0.597
```

Results
- Energy relative to the elements: 0.181 eV per atom
- Space group: No. 2